[1]
VASP calculation (GGA-PBE) on crystalline AcPr2Cu2Si2 at its relaxed geometry.

Calculated values
The formation energy from raw total energies comes out at -0.430 eV per atom. As for the total magnetization: 0.000 Bohr magnetons per cell. Its space group is R-3m (166). Its crystal system is trigonal. The calculated total energy is -5.102 eV per atom.

The structure in extended XYZ format:
```
7
Lattice="4.302 0.000 0.000 2.151 3.726 0.000 2.151 1.242 10.414" Properties=species:S:1:pos:R:3 pbc="T T T"
Ac 0.000 0.000 0.000
Pr 2.151 1.242 6.429
Pr 6.453 3.726 3.985
Cu 4.302 2.484 2.229
Cu 4.302 2.484 8.185
Si 6.453 3.726 8.160
Si 2.151 1.242 2.254
```



[2]
VASP calculation (GGA-PBE) on crystalline KPuScI6 at its relaxed geometry.

Calculated values
The formation energy from raw total energies comes out at -1.228 eV per atom. As for the total magnetization: 12.017 Bohr magnetons per cell. Its space group is P-31c (163). Its crystal system is trigonal. The calculated total energy is -4.679 eV per atom.

The structure in extended XYZ format:
```
18
Lattice="7.814 0.000 0.000 -3.907 6.767 0.000 0.000 0.000 15.760" Properties=species:S:1:pos:R:3 pbc="T T T"
K 0.000 0.000 0.000
K 0.000 0.000 7.880
Pu 0.000 4.512 3.940
Pu 3.907 2.256 11.820
Sc 3.907 2.256 3.940
Sc 0.000 4.512 11.820
I 2.632 4.246 2.193
I 6.268 2.365 2.193
I -1.086 6.611 10.073
I -2.361 4.402 13.566
I 1.546 2.365 5.687
I 5.182 4.246 5.687
I 1.086 6.611 13.566
I 4.993 0.156 5.687
I -1.275 2.522 10.073
I 2.821 0.156 2.193
I 2.361 4.402 10.073
I 1.275 2.522 13.566
```



[3]
VASP calculation (GGA-PBE) on crystalline LiZn2Br at its relaxed geometry.

Calculated values
The formation energy from raw total energies comes out at -0.233 eV per atom. As for the total magnetization: 0.000 Bohr magnetons per cell. Its space group is Pmmm (47). Its crystal system is orthorhombic. The calculated total energy is -1.767 eV per atom.

The structure in extended XYZ format:
```
4
Lattice="-3.269 1.170 1.728 0.589 -3.892 3.749 2.582 3.085 2.797" Properties=species:S:1:pos:R:3 pbc="T T T"
Br -0.695 -0.590 3.438
Li 0.596 0.952 4.836
Zn 0.014 0.017 0.015
Zn 1.277 1.525 1.383
```



[4]
VASP calculation (GGA-PBE) on crystalline SnTe2CI at its relaxed geometry.

Calculated values
The formation energy from raw total energies comes out at 0.889 eV per atom. As for the total magnetization: 0.187 Bohr magnetons per cell. Its space group is P4/mmm (123). Its crystal system is tetragonal. The calculated total energy is -3.323 eV per atom.

The structure in extended XYZ format:
```
5
Lattice="4.914 0.000 0.000 0.000 4.914 0.000 0.000 0.000 5.168" Properties=species:S:1:pos:R:3 pbc="T T T"
I 0.000 0.000 2.584
C 0.000 0.000 0.000
Te 0.000 2.457 0.000
Te 2.457 0.000 0.000
Sn 2.457 2.457 2.584
```



> Which of these has the highest calculated total energy?

LiZn2Br



> Which formula does entry 3 have?

LiZn2Br



> Among the records above, which one has the highest formation energy from raw total energies?

SnTe2CI



> Number 4 is which compound?

SnTe2CI